Entry from Alexandria via LeMat-Bulk: crystalline Ti4Fe2O at its relaxed geometry (PBE with a Hubbard U).

```
Ti4Fe2O
1.0
0.000 5.814 5.814
5.814 0.000 5.814
5.814 5.814 0.000
Ti Fe O
16 8 4
Direct
0.125 0.625 0.625
0.068 0.068 0.432
0.068 0.432 0.068
0.432 0.068 0.068
0.818 0.182 0.818
0.068 0.432 0.432
0.432 0.432 0.068
0.818 0.818 0.182
0.432 0.068 0.432
0.182 0.182 0.818
0.182 0.818 0.818
0.818 0.182 0.182
0.625 0.625 0.625
0.182 0.818 0.182
0.625 0.125 0.625
0.625 0.625 0.125
0.412 0.412 0.763
0.838 0.838 0.487
0.763 0.412 0.412
0.487 0.838 0.838
0.838 0.838 0.838
0.412 0.763 0.412
0.412 0.412 0.412
0.838 0.487 0.838
0.125 0.125 0.125
0.125 0.125 0.625
0.125 0.625 0.125
0.625 0.125 0.125
```

Calculated values
Fermi-level density of states   6.79 states/eV/f.u.
Final energy   -7.297 eV per atom
SG   Fd-3m